Below is an optimized crystal structure of CsSbPO2, with properties calculated at the PBE-GGA level.

Output
ΔE to the lowest computed polymorph	0.000	eV per atom
total magnetic moment	0.0565	μB/atom
formation energy without anion corrections	-1.923	eV per formula unit
total energy	-4.45	eV per atom
DOS(E_F)	2.93	states/eV per cell

The structure in CIF format:
```
data_CsSbPO2
_symmetry_space_group_name_H-M 'P 4/m m m'
_symmetry_Int_Tables_number 123
_symmetry_space_group_name_Hall '-P 4 2'
_cell_length_a 4.261
_cell_length_b 4.261
_cell_length_c 5.275
_cell_angle_alpha 90.00
_cell_angle_beta 90.00
_cell_angle_gamma 90.00
loop_
_atom_site_label
_atom_site_fract_x
_atom_site_fract_y
_atom_site_fract_z
Cs1 0.000 0.000 0.000
Sb1 0.500 0.500 0.500
P1 0.500 0.500 0.000
O1 0.000 0.500 0.500
```

Below is an optimized crystal structure of MgB3C3, with properties calculated at the PBE-GGA level.

Output
energy relative to the elements	0.32	eV per atom
ΔE to the lowest computed polymorph	0.307	eV per atom
total magnetic moment	0.0000	μB/atom
total energy	-6.73	eV per atom
DOS(E_F)	3.86	states/eV per cell

The structure in CIF format:
```
data_MgB3C3
_symmetry_space_group_name_H-M 'P m -3 n'
_symmetry_Int_Tables_number 223
_symmetry_space_group_name_Hall '-P 4n 2 3'
_cell_length_a 4.717
_cell_length_b 4.717
_cell_length_c 4.717
_cell_angle_alpha 90.00
_cell_angle_beta 90.00
_cell_angle_gamma 90.00
loop_
_atom_site_label
_atom_site_fract_x
_atom_site_fract_y
_atom_site_fract_z
Mg1 0.000 0.000 0.000
B1 0.000 0.250 0.500
C1 0.000 0.500 0.250
```

Below is an optimized crystal structure of Ho3ErPd12, with properties calculated at the PBE-GGA level.

Output
energy relative to the elements	-0.89	eV per atom
total magnetic moment	0.0000	μB/atom
total energy	-5.93	eV per atom
DOS(E_F)	12.73	states/eV per cell

The structure in CIF format:
```
data_Ho3ErPd12
_symmetry_space_group_name_H-M 'P 4/m m m'
_symmetry_Int_Tables_number 123
_symmetry_space_group_name_Hall '-P 4 2'
_cell_length_a 4.105
_cell_length_b 4.105
_cell_length_c 16.503
_cell_angle_alpha 90.00
_cell_angle_beta 90.00
_cell_angle_gamma 90.00
loop_
_atom_site_label
_atom_site_fract_x
_atom_site_fract_y
_atom_site_fract_z
Ho1 0.000 0.000 0.000
Ho2 0.000 0.000 0.250
Er1 0.000 0.000 0.500
Pd1 0.000 0.500 0.125
Pd2 0.000 0.500 0.376
Pd3 0.500 0.500 0.000
Pd4 0.500 0.500 0.250
Pd5 0.500 0.500 0.500
```

Below is an optimized crystal structure of CsFeNiH6, with properties calculated at the PBE-GGA level.

Output
total magnetic moment	0.3170	μB/atom
total energy	-3.92	eV per atom
DOS(E_F)	4.31	states/eV per cell

The structure in CIF format:
```
data_CsFeNiH6
_symmetry_space_group_name_H-M 'P -6 m 2'
_symmetry_Int_Tables_number 187
_symmetry_space_group_name_Hall 'P -6 2'
_cell_length_a 4.5932
_cell_length_b 4.5932
_cell_length_c 6.1370
_cell_angle_alpha 90.00
_cell_angle_beta 90.00
_cell_angle_gamma 120.00
loop_
_atom_site_label
_atom_site_fract_x
_atom_site_fract_y
_atom_site_fract_z
Cs1 0.0000 0.0000 0.0000
Fe1 0.6667 0.3333 0.5000
Ni1 0.3333 0.6667 0.5000
H1 0.0103 0.5052 0.3362
```

Below is an optimized crystal structure of Pr3Sm3Mg, with properties calculated at the PBE-GGA level.

Output
energy relative to the elements	0.10	eV per atom
ΔE to the lowest computed polymorph	0.067	eV per atom
total magnetic moment	0.0001	μB/atom
total energy	-4.20	eV per atom
DOS(E_F)	60.11	states/eV per cell

The structure in CIF format:
```
data_Pr3Sm3Mg
_symmetry_space_group_name_H-M 'R -3'
_symmetry_Int_Tables_number 148
_symmetry_space_group_name_Hall '-R 3'
_cell_length_a 6.3414
_cell_length_b 6.3414
_cell_length_c 42.8102
_cell_angle_alpha 90.00
_cell_angle_beta 90.00
_cell_angle_gamma 120.00
loop_
_atom_site_label
_atom_site_fract_x
_atom_site_fract_y
_atom_site_fract_z
Pr1 0.0002 0.3322 0.0631
Sm1 0.0000 0.3332 0.2015
Mg1 0.0000 0.0000 0.3333
```

Below is an optimized crystal structure of Y8Er4Zr, with properties calculated at the PBE-GGA level.

Output
energy relative to the elements	0.21	eV per atom
total magnetic moment	0.0846	μB/atom
total energy	-5.83	eV per atom
DOS(E_F)	39.56	states/eV per cell

The structure in CIF format:
```
data_Y8Er4Zr
_symmetry_space_group_name_H-M 'C 1 2/m 1'
_symmetry_Int_Tables_number 12
_symmetry_space_group_name_Hall '-C 2y'
_cell_length_a 12.552
_cell_length_b 7.268
_cell_length_c 9.943
_cell_angle_alpha 90.00
_cell_angle_beta 114.70
_cell_angle_gamma 90.00
loop_
_atom_site_label
_atom_site_fract_x
_atom_site_fract_y
_atom_site_fract_z
Y1 0.026 0.228 0.307
Y2 0.217 0.000 0.650
Y3 0.245 0.500 0.694
Er1 0.000 0.000 0.000
Er2 0.000 0.500 0.000
Er3 0.250 0.250 0.000
Zr1 0.000 0.500 0.500
```

Below is an optimized crystal structure of Ag2PS4, with properties calculated at the PBE-GGA level.

Output
ΔE to the lowest computed polymorph	0.000	eV per atom
total magnetic moment	0.0000	μB/atom
formation energy without anion corrections	-0.418	eV per formula unit
total energy	-4.01	eV per atom
DOS(E_F)	21.32	states/eV per cell

The structure in CIF format:
```
data_Ag2PS4
_symmetry_space_group_name_H-M 'P 42/n b c'
_symmetry_Int_Tables_number 133
_cell_length_a 9.099
_cell_length_b 9.099
_cell_length_c 11.408
_cell_angle_alpha 90.00
_cell_angle_beta 90.00
_cell_angle_gamma 90.00
loop_
_symmetry_equiv_pos_as_xyz
'x,y,z'
'-x,-y,-z'
'-y+1/2,x,z+1/2'
'y+1/2,-x,-z+1/2'
'-x+1/2,-y+1/2,z'
'x+1/2,y+1/2,-z'
'y,-x+1/2,z+1/2'
'-y,x+1/2,-z+1/2'
'x,-y+1/2,-z'
'-x,y+1/2,z'
'-y+1/2,-x+1/2,-z+1/2'
'y+1/2,x+1/2,z+1/2'
'-x+1/2,y,-z'
'x+1/2,-y,z'
'y,x,-z+1/2'
'-y,-x,z+1/2'
loop_
_atom_site_label
_atom_site_fract_x
_atom_site_fract_y
_atom_site_fract_z
Ag1 0.002 0.002 0.250
P1 0.250 0.750 0.250
S1 0.058 0.749 0.655
```

Below is an optimized crystal structure of SrSb3Te, with properties calculated at the PBE-GGA level.

Output
ΔE to the lowest computed polymorph	0.000	eV per atom
total magnetic moment	0.0000	μB/atom
formation energy without anion corrections	0.866	eV per formula unit
total energy	-3.27	eV per atom
DOS(E_F)	5.24	states/eV per cell

The structure in CIF format:
```
data_SrSb3Te
_symmetry_space_group_name_H-M 'P m -3 m'
_symmetry_Int_Tables_number 221
_symmetry_space_group_name_Hall '-P 4 2 3'
_cell_length_a 5.762
_cell_length_b 5.762
_cell_length_c 5.762
_cell_angle_alpha 90.00
_cell_angle_beta 90.00
_cell_angle_gamma 90.00
loop_
_atom_site_label
_atom_site_fract_x
_atom_site_fract_y
_atom_site_fract_z
Sr1 0.000 0.000 0.000
Sb1 0.000 0.500 0.500
Te1 0.500 0.500 0.500
```